--- A ---
# TiCo3H | the Alexandria database | PBE | optimized geometry
# * spin magnetization: 1.93 μB per formula unit
data_TiCo3H
_symmetry_space_group_name_H-M 'I m m a'
_symmetry_Int_Tables_number 74
_symmetry_space_group_name_Hall '-I 2b 2'
_cell_length_a 3.542
_cell_length_b 3.651
_cell_length_c 15.115
_cell_angle_alpha 90.00
_cell_angle_beta 90.00
_cell_angle_gamma 90.00
loop_
_atom_site_label
_atom_site_type_symbol
_atom_site_fract_x
_atom_site_fract_y
_atom_site_fract_z
_atom_site_occupancy
Ti1 Ti 0.000 0.250 0.071 1
Co1 Co 0.000 0.250 0.309 1
Co2 Co 0.000 0.250 0.565 1
Co3 Co 0.000 0.250 0.809 1
H1 H 0.000 0.250 0.684 1

---

--- B ---
# TiCo3H | the Alexandria database | PBE | optimized geometry
# * spin magnetization: 2.00 μB per formula unit
data_TiCo3H
_symmetry_space_group_name_H-M 'P 1 21/c 1'
_symmetry_Int_Tables_number 14
_cell_length_a 6.862
_cell_length_b 4.149
_cell_length_c 9.191
_cell_angle_alpha 90.00
_cell_angle_beta 131.96
_cell_angle_gamma 90.00
loop_
_symmetry_equiv_pos_as_xyz
'x,y,z'
'-x,-y,-z'
'-x,y+1/2,-z+1/2'
'x,-y+1/2,z+1/2'
loop_
_atom_site_label
_atom_site_type_symbol
_atom_site_fract_x
_atom_site_fract_y
_atom_site_fract_z
_atom_site_occupancy
Ti1 Ti 0.250 0.242 0.194 1
Co1 Co 0.001 0.249 0.831 1
Co2 Co 0.250 0.742 0.037 1
Co3 Co 0.499 0.244 0.579 1
H1 H 0.248 0.513 0.378 1

---

Energies relative to the most stable structure are A 41; B 0, reported in meV/atom.

---

--- A ---
# CuTc2Ir | the Alexandria database | PBE | optimized geometry
# * spin magnetization: 0.00 μB per formula unit
data_CuTc2Ir
_symmetry_space_group_name_H-M 'P 4/m m m'
_symmetry_Int_Tables_number 123
_symmetry_space_group_name_Hall '-P 4 2'
_cell_length_a 4.610
_cell_length_b 4.610
_cell_length_c 2.691
_cell_angle_alpha 90.00
_cell_angle_beta 90.00
_cell_angle_gamma 90.00
loop_
_atom_site_label
_atom_site_type_symbol
_atom_site_fract_x
_atom_site_fract_y
_atom_site_fract_z
_atom_site_occupancy
Cu1 Cu 0.000 0.000 0.000 1
Tc1 Tc 0.000 0.500 0.500 1
Ir1 Ir 0.500 0.500 0.000 1

---

--- B ---
# CuTc2Ir | the Alexandria database | PBE | optimized geometry
# * spin magnetization: 0.00 μB per formula unit
data_CuTc2Ir
_symmetry_space_group_name_H-M 'I -4 2 d'
_symmetry_Int_Tables_number 122
_symmetry_space_group_name_Hall 'I -4 2bw'
_cell_length_a 5.581
_cell_length_b 5.581
_cell_length_c 10.516
_cell_angle_alpha 90.00
_cell_angle_beta 90.00
_cell_angle_gamma 90.00
loop_
_atom_site_label
_atom_site_type_symbol
_atom_site_fract_x
_atom_site_fract_y
_atom_site_fract_z
_atom_site_occupancy
Cu1 Cu 0.000 0.000 0.000 1
Tc1 Tc 0.248 0.250 0.125 1
Ir1 Ir 0.000 0.000 0.500 1

---

Energies relative to the most stable structure are A 0; B 1082, reported in meV/atom.

---

--- A ---
# Ac2BiPt | the Alexandria database | PBE | optimized geometry
# * spin magnetization: 0.38 μB per formula unit
data_Ac2BiPt
_symmetry_space_group_name_H-M 'F m -3 m'
_symmetry_Int_Tables_number 225
_symmetry_space_group_name_Hall '-F 4 2 3'
_cell_length_a 7.988
_cell_length_b 7.988
_cell_length_c 7.988
_cell_angle_alpha 90.00
_cell_angle_beta 90.00
_cell_angle_gamma 90.00
loop_
_atom_site_label
_atom_site_type_symbol
_atom_site_fract_x
_atom_site_fract_y
_atom_site_fract_z
_atom_site_occupancy
Ac1 Ac 0.250 0.250 0.250 1
Bi1 Bi 0.000 0.000 0.000 1
Pt1 Pt 0.000 0.000 0.500 1

---

--- B ---
# Ac2BiPt | the Alexandria database | PBE | optimized geometry
# * spin magnetization: 0.00 μB per formula unit
data_Ac2BiPt
_symmetry_space_group_name_H-M 'R -3 m'
_symmetry_Int_Tables_number 166
_symmetry_space_group_name_Hall '-R 3 2"'
_cell_length_a 4.8217
_cell_length_b 4.8217
_cell_length_c 28.1547
_cell_angle_alpha 90.00
_cell_angle_beta 90.00
_cell_angle_gamma 120.00
loop_
_atom_site_label
_atom_site_type_symbol
_atom_site_fract_x
_atom_site_fract_y
_atom_site_fract_z
_atom_site_occupancy
Ac1 Ac 0.0000 0.0000 0.0977 1
Bi1 Bi 0.0000 0.0000 0.5000 1
Pt1 Pt 0.0000 0.0000 0.0000 1

---

Energies relative to the most stable structure are A 0; B 575, reported in meV/atom.

---

--- A ---
# BC2 | the Alexandria database | PBE | optimized geometry
# * spin magnetization: 0.00 μB per formula unit
data_BC2
_symmetry_space_group_name_H-M 'P 1 m 1'
_symmetry_Int_Tables_number 6
_cell_length_a 4.605
_cell_length_b 2.579
_cell_length_c 6.452
_cell_angle_alpha 90.00
_cell_angle_beta 90.24
_cell_angle_gamma 90.00
loop_
_symmetry_equiv_pos_as_xyz
'x,y,z'
'x,-y,z'
loop_
_atom_site_label
_atom_site_type_symbol
_atom_site_fract_x
_atom_site_fract_y
_atom_site_fract_z
_atom_site_occupancy
B1 B 0.000 0.000 0.000 1
B2 B 0.159 0.500 0.661 1
B3 B 0.320 0.000 0.330 1
B4 B 0.500 0.500 0.997 1
C1 C 0.168 0.500 0.912 1
C2 C 0.353 0.000 0.585 1
C3 C 0.517 0.500 0.248 1
C4 C 0.668 0.000 0.658 1
C5 C 0.669 0.000 0.895 1
C6 C 0.826 0.500 0.331 1
C7 C 0.827 0.500 0.576 1
C8 C 0.987 0.000 0.257 1

---

--- B ---
# BC2 | the Alexandria database | PBE | optimized geometry
# * spin magnetization: 0.00 μB per formula unit
data_BC2
_symmetry_space_group_name_H-M 'C 1 m 1'
_symmetry_Int_Tables_number 8
_cell_length_a 8.554
_cell_length_b 2.522
_cell_length_c 7.942
_cell_angle_alpha 90.00
_cell_angle_beta 116.53
_cell_angle_gamma 90.00
loop_
_symmetry_equiv_pos_as_xyz
'x,y,z'
'x,-y,z'
'x+1/2,y+1/2,z'
'x+1/2,-y+1/2,z'
loop_
_atom_site_label
_atom_site_type_symbol
_atom_site_fract_x
_atom_site_fract_y
_atom_site_fract_z
_atom_site_occupancy
B1 B 0.000 0.000 0.000 1
B2 B 0.003 0.000 0.547 1
B3 B 0.217 0.000 0.272 1
B4 B 0.496 0.000 0.382 1
C1 C 0.012 0.500 0.883 1
C2 C 0.176 0.500 0.851 1
C3 C 0.179 0.000 0.740 1
C4 C 0.182 0.500 0.377 1
C5 C 0.326 0.000 0.157 1
C6 C 0.332 0.500 0.579 1
C7 C 0.337 0.000 0.695 1
C8 C 0.341 0.500 0.058 1

---

Energies relative to the most stable structure are A 59; B 0, reported in meV/atom.

---

--- A ---
# Zn3AgRh2 | the Alexandria database | PBE | optimized geometry
# * spin magnetization: 0.00 μB per formula unit
data_Zn3AgRh2
_symmetry_space_group_name_H-M 'P 4/m m m'
_symmetry_Int_Tables_number 123
_symmetry_space_group_name_Hall '-P 4 2'
_cell_length_a 3.101
_cell_length_b 3.101
_cell_length_c 9.079
_cell_angle_alpha 90.00
_cell_angle_beta 90.00
_cell_angle_gamma 90.00
loop_
_atom_site_label
_atom_site_type_symbol
_atom_site_fract_x
_atom_site_fract_y
_atom_site_fract_z
_atom_site_occupancy
Zn1 Zn 0.000 0.000 0.000 1
Zn2 Zn 0.000 0.000 0.313 1
Ag1 Ag 0.500 0.500 0.500 1
Rh1 Rh 0.500 0.500 0.164 1

---

--- B ---
# Zn3AgRh2 | the Alexandria database | PBE | optimized geometry
# * spin magnetization: 0.00 μB per formula unit
data_Zn3AgRh2
_symmetry_space_group_name_H-M 'C m m m'
_symmetry_Int_Tables_number 65
_symmetry_space_group_name_Hall '-C 2 2'
_cell_length_a 4.282
_cell_length_b 12.898
_cell_length_c 3.133
_cell_angle_alpha 90.00
_cell_angle_beta 90.00
_cell_angle_gamma 90.00
loop_
_atom_site_label
_atom_site_type_symbol
_atom_site_fract_x
_atom_site_fract_y
_atom_site_fract_z
_atom_site_occupancy
Zn1 Zn 0.000 0.000 0.000 1
Zn2 Zn 0.000 0.323 0.000 1
Ag1 Ag 0.000 0.500 0.500 1
Rh1 Rh 0.000 0.160 0.500 1

---

Energies relative to the most stable structure are A 20; B 0, reported in meV/atom.

---

--- A ---
# Be2CdBr | the Alexandria database | PBE | optimized geometry
# * spin magnetization: 0.00 μB per formula unit
data_Be2CdBr
_symmetry_space_group_name_H-M 'I m m 2'
_symmetry_Int_Tables_number 44
_cell_length_a 2.960
_cell_length_b 6.160
_cell_length_c 9.073
_cell_angle_alpha 90.00
_cell_angle_beta 90.00
_cell_angle_gamma 90.00
loop_
_symmetry_equiv_pos_as_xyz
'x,y,z'
'-x,-y,z'
'-x,y,z'
'x,-y,z'
'x+1/2,y+1/2,z+1/2'
'-x+1/2,-y+1/2,z+1/2'
'-x+1/2,y+1/2,z+1/2'
'x+1/2,-y+1/2,z+1/2'
loop_
_atom_site_label
_atom_site_type_symbol
_atom_site_fract_x
_atom_site_fract_y
_atom_site_fract_z
_atom_site_occupancy
Be1 Be 0.000 0.000 0.000 1
Be2 Be 0.000 0.500 0.307 1
Cd1 Cd 0.000 0.500 0.747 1
Br1 Br 0.000 0.000 0.627 1

---

--- B ---
# Be2CdBr | the Alexandria database | PBE | optimized geometry
# * spin magnetization: 0.00 μB per formula unit
data_Be2CdBr
_symmetry_space_group_name_H-M 'P m m m'
_symmetry_Int_Tables_number 47
_cell_length_a 3.458
_cell_length_b 3.481
_cell_length_c 6.334
_cell_angle_alpha 90.00
_cell_angle_beta 90.00
_cell_angle_gamma 90.00
loop_
_symmetry_equiv_pos_as_xyz
'x,y,z'
'-x,-y,-z'
'-x,-y,z'
'x,y,-z'
'x,-y,-z'
'-x,y,z'
'-x,y,-z'
'x,-y,z'
loop_
_atom_site_label
_atom_site_type_symbol
_atom_site_fract_x
_atom_site_fract_y
_atom_site_fract_z
_atom_site_occupancy
Be1 Be 0.000 0.000 0.000 1
Be2 Be 0.500 0.000 0.500 1
Cd1 Cd 0.000 0.500 0.500 1
Br1 Br 0.500 0.500 0.000 1

---

Energies relative to the most stable structure are A 0; B 185, reported in meV/atom.